1.
A plane-wave DFT calculation with PBE was carried out for crystalline Tb7Sm3Mg2 at its relaxed geometry.

a = 5.8103 Å, b = 3.5433 Å, c = 18.5870 Å
α = 90.00°, β = 93.72°, γ = 90.00°
With the nearest neighbours (Å) after each atom.
Positions (direct):
Tb1 0.0000 0.0000 0.0000  4 Sm 3.40, 8 Tb 3.41-3.70
Tb2 0.1903 0.5000 0.1685  8 Tb 3.41-3.70, 2 Mg 3.71-3.75, 1 Sm 3.71
Tb3 0.2581 0.5000 0.5364  1 Mg 3.14, 2 Tb 3.20-3.21
Tb4 0.3123 0.0000 0.8508  2 Mg 3.22, 2 Sm 3.41, 7 Tb 3.41-3.54
Tb5 0.6877 0.0000 0.1492  2 Mg 3.22, 2 Sm 3.41, 7 Tb 3.41-3.54
Tb6 0.7419 0.5000 0.4636  1 Mg 3.14, 2 Tb 3.20-3.21
Tb7 0.8097 0.5000 0.8315  8 Tb 3.41-3.70, 2 Mg 3.71-3.75, 1 Sm 3.71
Sm1 0.2255 0.0000 0.3659  2 Sm 3.54, 6 Tb 3.62-3.87, 4 Mg 3.65-3.66
Sm2 0.5000 0.5000 0.0000  10 Tb 3.40-3.71, 2 Sm 3.54
Sm3 0.7745 0.0000 0.6341  2 Sm 3.54, 6 Tb 3.62-3.87, 4 Mg 3.65-3.66
Mg1 0.2881 0.5000 0.7057  3 Tb 3.14-3.22
Mg2 0.7119 0.5000 0.2943  3 Tb 3.14-3.22

The total moment comes out at 0.0 Bohr magnetons per cell. As for the total DFT energy (no corrections): -4.06 eV per atom. As for the formation energy: 8.4 kJ per mole of atoms. The density is 7.0 Mg/m³. As for the crystal system: monoclinic. As for the space-group type: P2/m (10).

=====

2.
A plane-wave DFT calculation with PBE was carried out for crystalline LiLaGdZn at its relaxed geometry.

a = 5.2633 Å, b = 5.2633 Å, c = 5.2633 Å
α = 60.00°, β = 60.00°, γ = 60.00°
With the nearest neighbours (Å) after each atom.
Positions (direct):
Li1 0.0000 0.0000 0.0000  4 Gd 3.22, 4 La 3.22
La1 0.2500 0.2500 0.2500  4 Zn 3.22, 4 Li 3.22
Gd1 0.7500 0.7500 0.7500  4 Zn 3.22, 4 Li 3.22
Zn1 0.5000 0.5000 0.5000  4 Gd 3.22, 4 La 3.22

The total moment comes out at 8.1 Bohr magnetons per cell. As for the total DFT energy (no corrections): -5.67 eV per atom. As for the formation energy: -11.9 kJ per mole of atoms. The density is 5.9 Mg/m³. As for the crystal system: cubic. As for the space-group type: F-43m (216).

=====

3.
A plane-wave DFT calculation with PBE was carried out for crystalline YBe3 at its relaxed geometry.

a = 5.8336 Å, b = 5.8336 Å, c = 8.1411 Å
α = 90.00°, β = 90.00°, γ = 120.00°
With the nearest neighbours (Å) after each atom.
Positions (direct):
Y1 0.0000 0.0000 0.0000  12 Be 2.91-2.92
Y2 0.0000 0.0000 0.5000  12 Be 2.91-2.92
Y3 0.3333 0.6667 0.2500  12 Be 2.64-2.94
Y4 0.6667 0.3333 0.7500  12 Be 2.64-2.94
Be1 0.0000 0.5000 0.0000  4 Be 2.54, 2 Y 2.64
Be2 0.0000 0.5000 0.5000  4 Be 2.54, 2 Y 2.64
Be3 0.2059 0.4119 0.7500  2 Be 2.23
Be4 0.2059 0.7941 0.7500  2 Be 2.23
Be5 0.4119 0.2059 0.2500  2 Be 2.23
Be6 0.5000 0.0000 0.0000  4 Be 2.54, 2 Y 2.64
Be7 0.5000 0.0000 0.5000  4 Be 2.54, 2 Y 2.64
Be8 0.5000 0.5000 0.0000  4 Be 2.54, 2 Y 2.64
Be9 0.5000 0.5000 0.5000  4 Be 2.54, 2 Y 2.64
Be10 0.5881 0.7941 0.7500  2 Be 2.23
Be11 0.7941 0.2059 0.2500  2 Be 2.23
Be12 0.7941 0.5881 0.2500  2 Be 2.23

The total moment comes out at 0.0 Bohr magnetons per cell. As for the total DFT energy (no corrections): -4.04 eV per atom. As for the formation energy: 35.5 kJ per mole of atoms. The density is 3.2 Mg/m³. As for the crystal system: hexagonal. As for the space-group type: P6_3/mmc (194). Its energy above the lowest structure with this stoichiometry is 442 meV/atom.

=====

4.
A plane-wave DFT calculation with PBE was carried out for crystalline Ti4VPd2 at its relaxed geometry.

a = 7.1955 Å, b = 7.1955 Å, c = 7.1955 Å
α = 143.95°, β = 143.95°, γ = 51.90°
With the nearest neighbours (Å) after each atom.
Positions (direct):
Ti1 0.0000 0.5000 0.5000  2 V 2.23
Ti2 0.1880 0.1880 0.0000  1 V 2.43, 1 Pd 2.47
Ti3 0.5000 0.0000 0.5000  2 V 2.23
Ti4 0.8120 0.8120 0.0000  1 V 2.43, 1 Pd 2.47
V1 0.0000 0.0000 0.0000  6 Ti 2.23-2.43
Pd1 0.3786 0.3786 0.0000  5 Ti 2.47-2.72
Pd2 0.6214 0.6214 0.0000  5 Ti 2.47-2.72

The total moment comes out at 0.0 Bohr magnetons per cell. As for the total DFT energy (no corrections): -6.98 eV per atom. As for the formation energy: 30.3 kJ per mole of atoms. The density is 5.9 Mg/m³. As for the crystal system: tetragonal. As for the space-group type: I4/mmm (139).